Material: Li4In2Pb3
Method: DFT, PBE
State: optimized geometry

Output
Crystal system ... monoclinic
Total DFT energy (no corrections) ... -2.85 eV/atom

Structure (CIF):
```
data_Li4In2Pb3
_chemical_formula_sum 'Li8 In4 Pb6'
_symmetry_space_group_name_H-M 'P 1 21/c 1'
_symmetry_Int_Tables_number 14
_symmetry_space_group_name_Hall '-P 2ybc'
_cell_length_a 8.0351
_cell_length_b 8.1024
_cell_length_c 6.9700
_cell_angle_alpha 90.00
_cell_angle_beta 112.71
_cell_angle_gamma 90.00
loop_
_atom_site_label
_atom_site_type_symbol
_atom_site_fract_x
_atom_site_fract_y
_atom_site_fract_z
Li1 Li 0.0930 0.1595 0.1619
Li2 Li 0.3895 0.5071 0.1137
In1 In 0.3794 0.1610 0.9752
Pb1 Pb 0.0000 0.0000 0.5000
Pb2 Pb 0.2585 0.6694 0.7035
```



Material: Li5In2Pb2
Method: DFT, PBE
State: optimized geometry

Output
Crystal system ... orthorhombic
Total DFT energy (no corrections) ... -2.65 eV/atom

Structure (CIF):
```
data_Li5In2Pb2
_chemical_formula_sum 'Li20 In8 Pb8'
_symmetry_space_group_name_H-M 'C m c e'
_symmetry_Int_Tables_number 64
_symmetry_space_group_name_Hall '-C 2ac 2'
_cell_length_a 14.1176
_cell_length_b 7.5271
_cell_length_c 7.3877
_cell_angle_alpha 90.00
_cell_angle_beta 90.00
_cell_angle_gamma 90.00
loop_
_atom_site_label
_atom_site_type_symbol
_atom_site_fract_x
_atom_site_fract_y
_atom_site_fract_z
Li1 Li 0.0000 0.0000 0.0000
Li2 Li 0.1354 0.1672 0.3281
In1 In 0.0000 0.1398 0.6405
Pb1 Pb 0.2086 0.0000 0.0000
```



Material: Li8InPb2
Method: DFT, PBE
State: optimized geometry

Output
Crystal system ... monoclinic
Total DFT energy (no corrections) ... -2.57 eV/atom

Structure (CIF):
```
data_Li8InPb2
_chemical_formula_sum 'Li16 In2 Pb4'
_symmetry_space_group_name_H-M 'C 1 2/m 1'
_symmetry_Int_Tables_number 12
_symmetry_space_group_name_Hall '-C 2y'
_cell_length_a 14.1642
_cell_length_b 4.6959
_cell_length_c 7.2521
_cell_angle_alpha 90.00
_cell_angle_beta 118.31
_cell_angle_gamma 90.00
loop_
_atom_site_label
_atom_site_type_symbol
_atom_site_fract_x
_atom_site_fract_y
_atom_site_fract_z
Li1 Li 0.0253 0.0000 0.2278
Li2 Li 0.1034 0.5000 0.9432
Li3 Li 0.1480 0.0000 0.6966
Li4 Li 0.1695 0.5000 0.3895
In1 In 0.0000 0.5000 0.5000
Pb1 Pb 0.2124 0.0000 0.1630
```



Material: Li3In2Pb3
Method: DFT, PBE
State: optimized geometry

Output
Crystal system ... orthorhombic
Total DFT energy (no corrections) ... -2.97 eV/atom

Structure (CIF):
```
data_Li3In2Pb3
_chemical_formula_sum 'Li6 In4 Pb6'
_symmetry_space_group_name_H-M 'I m m m'
_symmetry_Int_Tables_number 71
_symmetry_space_group_name_Hall '-I 2 2'
_cell_length_a 4.2687
_cell_length_b 4.6676
_cell_length_c 19.5337
_cell_angle_alpha 90.00
_cell_angle_beta 90.00
_cell_angle_gamma 90.00
loop_
_atom_site_label
_atom_site_type_symbol
_atom_site_fract_x
_atom_site_fract_y
_atom_site_fract_z
Li1 Li 0.0000 0.0000 0.0000
Li2 Li 0.0000 0.5000 0.1266
In1 In 0.0000 0.0000 0.2504
Pb1 Pb 0.0000 0.0000 0.5000
Pb2 Pb 0.0000 0.5000 0.3798
```